A plane-wave DFT calculation with GGA-PBE was carried out for a relaxed structure of LaPrZnN3.

Properties
- magnetization (μB/atom) = 0.033
- total energy (eV/atom) = -6.640
- formation energy without anion corrections (kcal/mol of atoms) = -14.913
- SG = P2_1/m (11)

Cell lengths 7.4959, 3.5781, 7.5332 Å; angles 90.00, 92.94, 90.00 degrees
Closest atoms and distances in Å follow each position.
Positions (direct):
La  0.1283  0.2500  0.1831  5 N 2.38-2.58
La  0.8717  0.7500  0.8169  5 N 2.38-2.58
Pr  0.3523  0.7500  0.8194  3 N 2.43-2.55
Pr  0.6477  0.2500  0.1806  3 N 2.43-2.55
Zn  0.3909  0.7500  0.4105  4 N 2.02-2.13
Zn  0.6091  0.2500  0.5895  4 N 2.02-2.13
N  0.1168  0.2500  0.8662  3 La 2.38-2.58, 2 Pr 2.55
N  0.3297  0.2500  0.5232  3 Zn 2.04-2.13
N  0.3714  0.7500  0.1422  1 Zn 2.02
N  0.6286  0.2500  0.8578  1 Zn 2.02
N  0.6703  0.7500  0.4768  3 Zn 2.04-2.13
N  0.8832  0.7500  0.1338  3 La 2.38-2.58, 2 Pr 2.55